Record 1
## Ac6NiRh2Cl3 (PBE)

Data for a relaxed Ac6NiRh2Cl3 crystal.

Its space group is C2/m, No. 12. The calculated density comes out at 7.44 Mg/m³. The total energy comes out at -5.375 eV per atom. The total magnetic moment comes out at 0.00 μB per formula unit. Its raw formation energy is -1.152 eV per atom.

```
data_Ac6NiRh2Cl3
_cell_length_a 4.317
_cell_length_b 9.417
_cell_length_c 10.372
_cell_angle_alpha 109.76
_cell_angle_beta 102.01
_cell_angle_gamma 90.00
_symmetry_space_group_name_H-M 'P 1'
_symmetry_Int_Tables_number 1
_symmetry_space_group_name_Hall 'P 1'
loop_
_atom_site_label
_atom_site_fract_x
_atom_site_fract_y
_atom_site_fract_z
Ni1 0.500 0.000 0.000
Rh1 0.834 0.669 0.669
Ac1 0.656 0.109 0.311
Ac2 0.323 0.444 0.646
Ac3 0.344 0.891 0.689
Cl1 0.834 0.166 0.667
Ac4 0.011 0.221 0.021
Cl2 0.166 0.834 0.333
Ac5 0.677 0.556 0.354
Cl3 0.500 0.500 0.000
Ac6 0.989 0.779 0.979
Rh2 0.166 0.331 0.331
```

---

Record 2
## Ac6NiRu2Cl3 (PBE)

Data for a relaxed Ac6NiRu2Cl3 crystal.

Its space group is C2/m, No. 12. The calculated density comes out at 7.55 Mg/m³. The total energy comes out at -5.517 eV per atom. The total magnetic moment comes out at 0.00 μB per formula unit. Its raw formation energy is -0.973 eV per atom.

```
data_Ac6NiRu2Cl3
_cell_length_a 7.389
_cell_length_b 7.389
_cell_length_c 8.410
_cell_angle_alpha 98.41
_cell_angle_beta 98.41
_cell_angle_gamma 120.02
_symmetry_space_group_name_H-M 'P 1'
_symmetry_Int_Tables_number 1
_symmetry_space_group_name_Hall 'P 1'
loop_
_atom_site_label
_atom_site_fract_x
_atom_site_fract_y
_atom_site_fract_z
Cl1 0.172 0.828 0.500
Ru1 0.334 0.666 0.000
Ac1 0.933 0.595 0.798
Cl2 0.500 0.500 0.500
Ac2 0.405 0.067 0.202
Ni1 0.000 0.000 0.000
Ru2 0.666 0.334 0.000
Ac3 0.067 0.405 0.202
Ac4 0.595 0.933 0.798
Cl3 0.828 0.172 0.500
Ac5 0.729 0.729 0.202
Ac6 0.271 0.271 0.798
```

---

Record 3
## Ac4NiRuCl2 (PBE)

Data for a relaxed Ac4NiRuCl2 crystal.

Its space group is P2/m, No. 10. The calculated density comes out at 7.46 Mg/m³. The total energy comes out at -5.374 eV per atom. The total magnetic moment comes out at 0.00 μB per formula unit. Its raw formation energy is -0.976 eV per atom.

```
data_Ac4NiRuCl2
_cell_length_a 4.279
_cell_length_b 7.374
_cell_length_c 8.392
_cell_angle_alpha 106.94
_cell_angle_beta 90.00
_cell_angle_gamma 90.00
_symmetry_space_group_name_H-M 'P 1'
_symmetry_Int_Tables_number 1
_symmetry_space_group_name_Hall 'P 1'
loop_
_atom_site_label
_atom_site_fract_x
_atom_site_fract_y
_atom_site_fract_z
Ni1 0.000 0.000 0.000
Cl1 0.500 0.000 0.500
Ac1 0.000 0.270 0.795
Ac2 0.500 0.765 0.801
Ac3 0.000 0.730 0.205
Ru1 0.500 0.500 0.000
Ac4 0.500 0.235 0.199
Cl2 0.000 0.500 0.500
```

---

Record 4
## Ac8NiRu3Cl4 (PBE)

Data for a relaxed Ac8NiRu3Cl4 crystal.

Its space group is R-3m, No. 166. The calculated density comes out at 7.60 Mg/m³. The total energy comes out at -5.575 eV per atom. The total magnetic moment comes out at 0.00 μB per formula unit. Its raw formation energy is -0.958 eV per atom.

```
data_Ac8NiRu3Cl4
_cell_length_a 8.539
_cell_length_b 9.425
_cell_length_c 8.539
_cell_angle_alpha 116.96
_cell_angle_beta 120.00
_cell_angle_gamma 90.00
_symmetry_space_group_name_H-M 'P 1'
_symmetry_Int_Tables_number 1
_symmetry_space_group_name_Hall 'P 1'
loop_
_atom_site_label
_atom_site_fract_x
_atom_site_fract_y
_atom_site_fract_z
Cl1 0.000 0.000 0.000
Cl2 0.500 0.000 0.000
Ru1 0.000 0.500 0.500
Ac1 0.764 0.298 0.528
Cl3 0.000 0.000 0.500
Cl4 0.500 0.000 0.500
Ac2 0.265 0.295 0.530
Ni1 0.000 0.500 0.000
Ac3 0.236 0.702 0.966
Ac4 0.236 0.702 0.472
Ru2 0.500 0.500 0.500
Ac5 0.735 0.705 0.470
Ac6 0.764 0.298 0.034
Ac7 0.730 0.702 0.966
Ru3 0.500 0.500 0.000
Ac8 0.270 0.298 0.034
```